Record 1
A plane-wave DFT calculation with GGA-PBE was carried out for a relaxed structure of CaScRu2.

Lattice parameters (Å, degrees): 8.428 3.088 6.044 90.00 98.86 90.00
Space group C2/m (No. 12)
Asymmetric unit:
Ca (0.000, 0.000, 0.000) x2
Sc (0.000, 0.500, 0.500) x2
Ru (0.242, 0.000, 0.690) x4

Computed properties:
The total energy comes out at -6.623 eV per atom. For the volume, the calculation gives 78 Å³/f.u.


Record 2
A plane-wave DFT calculation with GGA-PBE was carried out for a relaxed structure of CaScRu2.

Lattice parameters (Å, degrees): 3.002 3.002 8.913 90.00 90.00 90.00
Space group P4mm (No. 99)
Asymmetric unit:
Ca (0.000, 0.000, 0.000) x1
Sc (0.500, 0.500, 0.632) x1
Ru (0.000, 0.000, 0.423) x1
Ru (0.500, 0.500, 0.249) x1

Computed properties:
The total energy comes out at -6.624 eV per atom. For the volume, the calculation gives 80 Å³/f.u.


Record 3
A plane-wave DFT calculation with GGA-PBE was carried out for a relaxed structure of SrCa2ScRu.

Lattice parameters (Å, degrees): 5.704 5.704 5.032 90.00 90.00 90.00
Space group P4/mmm (No. 123)
Asymmetric unit:
Sr (0.000, 0.000, 0.000) x1
Ca (0.000, 0.500, 0.500) x2
Sc (0.500, 0.500, 0.000) x1
Ru (0.500, 0.500, 0.500) x1

Computed properties:
The total energy comes out at -4.240 eV per atom. For the volume, the calculation gives 164 Å³/f.u.


Record 4
A plane-wave DFT calculation with GGA-PBE was carried out for a relaxed structure of CaSc2TiRu.

Lattice parameters (Å, degrees): 5.169 5.169 4.545 90.00 90.00 90.00
Space group P4/mmm (No. 123)
Asymmetric unit:
Ca (0.000, 0.000, 0.000) x1
Sc (0.000, 0.500, 0.500) x2
Ti (0.500, 0.500, 0.500) x1
Ru (0.500, 0.500, 0.000) x1

Computed properties:
The total energy comes out at -5.975 eV per atom. For the volume, the calculation gives 121 Å³/f.u.


Record 5
A plane-wave DFT calculation with GGA-PBE was carried out for a relaxed structure of CaRuSe.

Lattice parameters (Å, degrees): 6.644 6.644 6.644 90.00 90.00 90.00
Space group F-43m (No. 216)
Asymmetric unit:
Ca (0.000, 0.000, 0.000) x4
Ru (0.250, 0.250, 0.250) x4
Se (0.250, 0.250, 0.750) x4

Computed properties:
The value obtained for the energy above the most stable polymorph in this dataset is 963 meV/atom. For the volume, the calculation gives 73 Å³/f.u. The calculation puts the energy relative to the elements, uncorrected at 0.450 eV/atom.


Record 6
A plane-wave DFT calculation with GGA-PBE was carried out for a relaxed structure of CaRuSe3.

Lattice parameters (Å, degrees): 4.973 4.973 4.973 90.00 90.00 90.00
Space group Pm-3m (No. 221)
Asymmetric unit:
Ca (0.000, 0.000, 0.000) x1
Ru (0.500, 0.500, 0.500) x1
Se (0.000, 0.500, 0.500) x3

Computed properties:
The value obtained for the energy above the most stable polymorph in this dataset is 0 meV/atom. For the volume, the calculation gives 123 Å³/f.u. The calculation puts the energy relative to the elements, uncorrected at -0.376 eV/atom.


Record 7
A plane-wave DFT calculation with GGA-PBE was carried out for a relaxed structure of CaRuSe.

Lattice parameters (Å, degrees): 4.1884 4.1884 4.1862 90.00 90.00 120.00
Space group P-6m2 (No. 187)
Asymmetric unit:
Ca (0.0000, 0.0000, 0.0000) x1
Ru (0.3333, 0.6667, 0.5000) x1
Se (0.6667, 0.3333, 0.5000) x1

Computed properties:
The value obtained for the energy above the most stable polymorph in this dataset is 0 meV/atom. For the volume, the calculation gives 64 Å³/f.u. The calculation puts the energy relative to the elements, uncorrected at -0.514 eV/atom.


Record 8
A plane-wave DFT calculation with GGA-PBE was carried out for a relaxed structure of Ca2RuSe.

Lattice parameters (Å, degrees): 3.461 3.461 8.253 90.00 90.00 90.00
Space group P4mm (No. 99)
Asymmetric unit:
Ca (0.000, 0.000, 0.000) x1
Ca (0.500, 0.500, 0.385) x1
Ru (0.000, 0.000, 0.639) x1
Se (0.500, 0.500, 0.751) x1

Computed properties:
For the volume, the calculation gives 99 Å³/f.u. The calculation puts the energy relative to the elements, uncorrected at -0.191 eV/atom.


Record 9
A plane-wave DFT calculation with GGA-PBE was carried out for a relaxed structure of Ca2RuSe.

Lattice parameters (Å, degrees): 3.687 3.687 6.311 90.00 90.00 90.00
Space group P4/mmm (No. 123)
Asymmetric unit:
Ca (0.000, 0.000, 0.246) x2
Ru (0.500, 0.500, 0.000) x1
Se (0.500, 0.500, 0.500) x1

Computed properties:
For the volume, the calculation gives 86 Å³/f.u. The calculation puts the energy relative to the elements, uncorrected at -0.502 eV/atom.


Record 10
A plane-wave DFT calculation with GGA-PBE was carried out for a relaxed structure of Ca2RuSe.

Lattice parameters (Å, degrees): 4.659 4.659 7.857 90.00 90.00 90.00
Space group I4/mmm (No. 139)
Asymmetric unit:
Ca (0.000, 0.500, 0.250) x4
Ru (0.000, 0.000, 0.000) x2
Se (0.000, 0.000, 0.500) x2

Computed properties:
For the volume, the calculation gives 85 Å³/f.u. The calculation puts the energy relative to the elements, uncorrected at -0.300 eV/atom.


Record 11
A plane-wave DFT calculation with GGA-PBE was carried out for a relaxed structure of Ca4RuSe.

Lattice parameters (Å, degrees): 8.670 8.670 8.670 90.00 90.00 90.00
Space group F-43m (No. 216)
Asymmetric unit:
Ca (0.124, 0.124, 0.124) x16
Ru (0.250, 0.250, 0.750) x4
Se (0.000, 0.000, 0.500) x4

Computed properties:
For the volume, the calculation gives 163 Å³/f.u. The calculation puts the energy relative to the elements, uncorrected at 0.558 eV/atom.


Record 12
A plane-wave DFT calculation with GGA-PBE was carried out for a relaxed structure of CaRuSe4.

Lattice parameters (Å, degrees): 8.096 8.096 8.096 90.00 90.00 90.00
Space group F-43m (No. 216)
Asymmetric unit:
Ca (0.000, 0.000, 0.000) x4
Ru (0.250, 0.250, 0.750) x4
Se (0.124, 0.124, 0.376) x16

Computed properties:
For the volume, the calculation gives 133 Å³/f.u. The calculation puts the energy relative to the elements, uncorrected at 0.440 eV/atom.


Q: Which value of volume does entry 3 give?
A: 164 Å³/f.u.


Q: Which value of volume does entry 11 give?
A: 163 Å³/f.u.